This record from the Alexandria database describes an optimized crystal structure of Cs2AlNiI6. The functional is PBE.

Summary:
The space group is I4/mmm (139). As for the density of states at the Fermi level: 0.875 states/eV per cell.

a = 8.0997 Å, b = 8.0997 Å, c = 8.0912 Å
α = 59.96°, β = 59.96°, γ = 90.00°
Element x y z (fractional)
Cs (0.7500, 0.2500, 0.5000)
Cs (0.2500, 0.7500, 0.5000)
I (0.2486, 0.2486, 0.0000)
I (0.7514, 0.2486, 0.0000)
I (0.2486, 0.7514, 0.0000)
I (0.7514, 0.7514, 0.0000)
I (0.2453, 0.2453, 0.5095)
I (0.7547, 0.7547, 0.4905)
Ni (0.0000, 0.0000, 0.0000)
Al (0.5000, 0.5000, 0.0000)

=====

This record from the Alexandria database describes an optimized crystal structure of CsAlIO2. The functional is PBE.

Summary:
The value obtained for the excess energy over the best structure of this formula in the dataset is 0.000 eV per atom. The space group is P4/mmm (123). As for the density of states at the Fermi level: 2.750 states/eV per cell.

a = 4.4316 Å, b = 4.4316 Å, c = 5.5171 Å
α = 90.00°, β = 90.00°, γ = 90.00°
Element x y z (fractional)
O (0.5000, 0.0000, 0.0000)
O (0.0000, 0.5000, 0.0000)
I (0.0000, 0.0000, 0.5000)
Cs (0.5000, 0.5000, 0.5000)
Al (0.0000, 0.0000, 0.0000)

=====

This record from the Alexandria database describes an optimized crystal structure of CsAlIO2. The functional is PBE.

Summary:
The value obtained for the excess energy over the best structure of this formula in the dataset is 1.192 eV per atom. The space group is P4/mmm (123). As for the density of states at the Fermi level: 3.207 states/eV per cell.

a = 4.5012 Å, b = 6.7121 Å, c = 4.5012 Å
α = 90.00°, β = 90.00°, γ = 90.00°
Element x y z (fractional)
O (0.5000, 0.0000, 0.0000)
O (0.0000, 0.0000, 0.5000)
Cs (0.0000, 0.5000, 0.0000)
I (0.0000, 0.0000, 0.0000)
Al (0.5000, 0.5000, 0.5000)

=====

This record from the Alexandria database describes an optimized crystal structure of CsAlIO2. The functional is PBE.

Summary:
The value obtained for the excess energy over the best structure of this formula in the dataset is 1.083 eV per atom. The space group is P4/mmm (123). As for the density of states at the Fermi level: 3.054 states/eV per cell.

a = 4.4431 Å, b = 4.4431 Å, c = 7.6396 Å
α = 90.00°, β = 90.00°, γ = 90.00°
Element x y z (fractional)
Cs (0.0000, 0.0000, 0.0000)
O (0.0000, 0.5000, 0.0000)
O (0.5000, 0.0000, 0.0000)
I (0.0000, 0.0000, 0.5000)
Al (0.5000, 0.5000, 0.5000)

=====

This record from the Alexandria database describes an optimized crystal structure of Cs2AlPI6. The functional is PBE.

Summary:
The space group is I4/mmm (139). As for the density of states at the Fermi level: 0.115 states/eV per cell.

a = 8.2635 Å, b = 8.2635 Å, c = 8.2706 Å
α = 60.03°, β = 60.03°, γ = 90.00°
Element x y z (fractional)
P (0.0000, 0.0000, 0.0000)
I (0.2523, 0.2523, 0.4953)
I (0.7544, 0.2456, 0.0000)
I (0.2456, 0.2456, 0.0000)
I (0.7544, 0.7544, 0.0000)
I (0.7477, 0.7477, 0.5047)
I (0.2456, 0.7544, 0.0000)
Cs (0.2500, 0.7500, 0.5000)
Cs (0.7500, 0.2500, 0.5000)
Al (0.5000, 0.5000, 0.0000)

=====

This record from the Alexandria database describes an optimized crystal structure of Cs2AlPbI6. The functional is PBE.

Summary:
The space group is I4/mmm (139). As for the density of states at the Fermi level: 3.637 states/eV per cell.

a = 8.6542 Å, b = 8.6542 Å, c = 8.6373 Å
α = 59.94°, β = 59.94°, γ = 90.00°
Element x y z (fractional)
I (0.2632, 0.2632, 0.0000)
I (0.2632, 0.7368, 0.0000)
I (0.2638, 0.2638, 0.4723)
I (0.7368, 0.2632, 0.0000)
I (0.7368, 0.7368, 0.0000)
I (0.7362, 0.7362, 0.5277)
Cs (0.2500, 0.7500, 0.5000)
Cs (0.7500, 0.2500, 0.5000)
Al (0.5000, 0.5000, 0.0000)
Pb (0.0000, 0.0000, 0.0000)

=====

This record from the Alexandria database describes an optimized crystal structure of Cs2AlPdI6. The functional is PBE.

Summary:
The space group is I4/mmm (139). As for the density of states at the Fermi level: 6.281 states/eV per cell.

a = 8.1032 Å, b = 8.1032 Å, c = 8.2627 Å
α = 60.64°, β = 60.64°, γ = 90.00°
Element x y z (fractional)
I (0.7563, 0.2437, 0.0000)
I (0.7289, 0.7289, 0.5423)
I (0.2711, 0.2711, 0.4577)
I (0.2437, 0.2437, 0.0000)
I (0.7563, 0.7563, 0.0000)
I (0.2437, 0.7563, 0.0000)
Cs (0.2500, 0.7500, 0.5000)
Cs (0.7500, 0.2500, 0.5000)
Pd (0.0000, 0.0000, 0.0000)
Al (0.5000, 0.5000, 0.0000)

=====

This record from the Alexandria database describes an optimized crystal structure of CsRb2AlI6. The functional is PBE.

Summary:
The space group is Fm-3m (225). As for the density of states at the Fermi level: 0.000 states/eV per cell.

a = 8.9989 Å, b = 8.9989 Å, c = 8.9991 Å
α = 60.00°, β = 60.00°, γ = 90.00°
Element x y z (fractional)
I (0.7181, 0.2819, 0.0000)
I (0.7181, 0.7181, 0.0000)
I (0.2819, 0.2819, 0.0000)
I (0.2819, 0.2819, 0.4362)
I (0.2819, 0.7181, 0.0000)
I (0.7181, 0.7181, 0.5638)
Al (0.5000, 0.5000, 0.0000)
Cs (0.0000, 0.0000, 0.0000)
Rb (0.7500, 0.2500, 0.5000)
Rb (0.2500, 0.7500, 0.5000)

=====

This record from the Alexandria database describes an optimized crystal structure of Cs2AlRhI6. The functional is PBE.

Summary:
The space group is I4/mmm (139). As for the density of states at the Fermi level: 0.208 states/eV per cell.

a = 8.1496 Å, b = 8.1496 Å, c = 8.1350 Å
α = 59.94°, β = 59.94°, γ = 90.00°
Element x y z (fractional)
I (0.2423, 0.2423, 0.5154)
I (0.7577, 0.7577, 0.4846)
I (0.7595, 0.7595, 0.0000)
I (0.2405, 0.2405, 0.0000)
I (0.7595, 0.2405, 0.0000)
I (0.2405, 0.7595, 0.0000)
Rh (0.0000, 0.0000, 0.0000)
Al (0.5000, 0.5000, 0.0000)
Cs (0.2500, 0.7500, 0.5000)
Cs (0.7500, 0.2500, 0.5000)

=====

This record from the Alexandria database describes an optimized crystal structure of Cs2AlRuI6. The functional is PBE.

Summary:
The space group is I4/mmm (139). As for the density of states at the Fermi level: 11.042 states/eV per cell.

a = 8.1910 Å, b = 8.1910 Å, c = 8.1980 Å
α = 60.03°, β = 60.03°, γ = 90.00°
Element x y z (fractional)
Ru (0.0000, 0.0000, 0.0000)
I (0.7609, 0.7609, 0.0000)
I (0.7609, 0.2391, 0.0000)
I (0.2391, 0.7609, 0.0000)
I (0.7613, 0.7613, 0.4775)
I (0.2387, 0.2387, 0.5225)
I (0.2391, 0.2391, 0.0000)
Al (0.5000, 0.5000, 0.0000)
Cs (0.2500, 0.7500, 0.5000)
Cs (0.7500, 0.2500, 0.5000)

=====

This record from the Alexandria database describes an optimized crystal structure of Cs2ScAlI6. The functional is PBE.

Summary:
The space group is Fm-3m (225). As for the density of states at the Fermi level: 0.000 states/eV per cell.

a = 8.6090 Å, b = 8.6090 Å, c = 8.6096 Å
α = 60.00°, β = 60.00°, γ = 90.00°
Element x y z (fractional)
I (0.2394, 0.2394, 0.0000)
I (0.2394, 0.7606, 0.0000)
I (0.7606, 0.2394, 0.0000)
I (0.2394, 0.2394, 0.5212)
I (0.7606, 0.7606, 0.4788)
I (0.7606, 0.7606, 0.0000)
Cs (0.7500, 0.2500, 0.5000)
Cs (0.2500, 0.7500, 0.5000)
Sc (0.0000, 0.0000, 0.0000)
Al (0.5000, 0.5000, 0.0000)

=====

This record from the Alexandria database describes an optimized crystal structure of Cs2AlSeI6. The functional is PBE.

Summary:
The space group is I4/mmm (139). As for the density of states at the Fermi level: 7.937 states/eV per cell.

a = 8.2559 Å, b = 8.2559 Å, c = 8.5725 Å
α = 61.21°, β = 61.21°, γ = 90.00°
Element x y z (fractional)
Al (0.5000, 0.5000, 0.0000)
I (0.7484, 0.2516, 0.0000)
I (0.2516, 0.2516, 0.0000)
I (0.7484, 0.7484, 0.0000)
I (0.2817, 0.2817, 0.4366)
I (0.2516, 0.7484, 0.0000)
I (0.7183, 0.7183, 0.5634)
Cs (0.2500, 0.7500, 0.5000)
Cs (0.7500, 0.2500, 0.5000)
Se (0.0000, 0.0000, 0.0000)

=====

| no. | energy (eV/atom) | size of the total moment (μB/f.u.) | formation energy (no corrections) (kJ/mol of formula units) |
| --- | --- | --- | --- |
| 1 | -2.8081 | 1.07 | -728 |
| 2 | -3.8896 | 0.93 | -327 |
| 3 | -2.6981 | 0.00 | 248 |
| 4 | -2.8068 | 0.00 | 196 |
| 5 | -2.7059 | 0.00 | -666 |
| 6 | -2.7735 | 0.00 | -895 |
| 7 | -2.8059 | 0.00 | -783 |
| 8 | -2.6486 | 0.00 | -1028 |
| 9 | -2.9594 | 0.00 | -723 |
| 10 | -3.0376 | 0.97 | -613 |
| 11 | -3.2319 | 0.00 | -1084 |
| 12 | -2.5584 | 0.00 | -709 |